# Ba2MgFe | Alexandria via LeMat-Bulk | meta-GGA SCAN | single point on PBEsol structure
data_Ba2MgFe
_chemical_formula_sum 'Ba2 Mg1 Fe1'
_space_group_name_H-M_alt 'P 4/m m m'
_space_group_IT_number 123
_space_group_name_Hall '-P 4 2'
_cell_length_a 5.776
_cell_length_b 5.776
_cell_length_c 3.996
_cell_angle_alpha 90.00
_cell_angle_beta 90.00
_cell_angle_gamma 90.00
loop_
_atom_site_label
_atom_site_type_symbol
_atom_site_fract_x
_atom_site_fract_y
_atom_site_fract_z
_atom_site_occupancy
Ba1 Ba 0.000 0.500 0.000 1
Mg1 Mg 0.000 0.000 0.500 1
Fe1 Fe 0.500 0.500 0.500 1
# **Calculated formation energy**: 427 meV/atom